# ZnCrTe2

A relaxed structure of ZnCrTe2 (GGA-PBE, Alexandria).

Geometry as extended XYZ:
```
12
Lattice="4.034 0.000 0.000 -2.017 3.493 0.000 0.000 0.000 20.182" Properties=species:S:1:pos:R:3 pbc="T T T"
Zn 0.000 0.000 0.000
Zn 0.000 2.329 13.455
Zn 2.017 1.164 6.727
Cr 0.000 0.000 10.091
Cr 0.000 2.329 3.364
Cr 2.017 1.164 16.818
Te 0.000 0.000 4.922
Te 0.000 0.000 15.260
Te 0.000 2.329 8.532
Te 0.000 2.329 18.377
Te 2.017 1.164 1.805
Te 2.017 1.164 11.650
```

Values from the calculation:
- Volume: 23.70 Å³ per atom
- Raw formation energy: -0.0950 eV/atom
- Total moment: 0.892 μB/atom
- Space group: R-3m
- Uncorrected energy: -4.39 eV/atom
- Fermi-level density of states: 1.82 states/eV/f.u.